A plane-wave DFT calculation with PBE was carried out for a relaxed LaZrAg crystal.

Calculated values
- DFT total energy (eV for the cell shown) = -65.3
- crystal system = orthorhombic

```
LaZrAg
1.0
7.1492 0.0000 0.0000
0.0000 3.4679 0.0000
0.0000 0.0000 12.2207
La Zr Ag
4 4 4
Direct
0.1388 0.2500 0.0888
0.3612 0.7500 0.5888
0.6388 0.2500 0.4112
0.8612 0.7500 0.9112
0.0919 0.2500 0.4042
0.4081 0.7500 0.9042
0.5919 0.2500 0.0958
0.9081 0.7500 0.5958
0.1429 0.2500 0.7702
0.3571 0.7500 0.2702
0.6429 0.2500 0.7298
0.8571 0.7500 0.2298
```


A plane-wave DFT calculation with PBE was carried out for a relaxed LaZrAg2 crystal.

Calculated values
- DFT total energy (eV for the cell shown) = -38.4
- crystal system = orthorhombic

```
LaZrAg2
1.0
6.5685 0.0000 0.0000
0.0000 8.6639 0.0000
0.0000 0.0000 3.2508
La Zr Ag
2 2 4
Direct
0.0000 0.0000 0.0000
0.5000 0.5000 0.0000
0.0000 0.5000 0.0000
0.5000 0.0000 0.0000
0.2500 0.2500 0.5000
0.2500 0.7500 0.5000
0.7500 0.2500 0.5000
0.7500 0.7500 0.5000
```


A plane-wave DFT calculation with PBE was carried out for a relaxed La2ZrAg crystal.

Calculated values
- DFT total energy (eV for the cell shown) = -21.2
- crystal system = tetragonal

```
La2ZrAg
1.0
3.5499 0.0000 0.0000
0.0000 3.5499 0.0000
0.0000 0.0000 8.8627
La Zr Ag
2 1 1
Direct
0.0000 0.0000 0.0000
0.5000 0.5000 0.3142
0.0000 0.0000 0.5713
0.5000 0.5000 0.7506
```


A plane-wave DFT calculation with PBE was carried out for a relaxed La2ZrAg crystal.

Calculated values
- DFT total energy (eV for the cell shown) = -62.2
- crystal system = trigonal

```
La2ZrAg
1.0
3.4975 0.0000 0.0000
-1.7487 3.0289 0.0000
0.0000 0.0000 31.7373
La Zr Ag
6 3 3
Direct
0.0000 0.0000 0.0000
0.0000 0.0000 0.2363
0.3333 0.6667 0.6667
0.3333 0.6667 0.9029
0.6667 0.3333 0.3333
0.6667 0.3333 0.5696
0.0000 0.0000 0.4845
0.3333 0.6667 0.1512
0.6667 0.3333 0.8179
0.0000 0.0000 0.7488
0.3333 0.6667 0.4154
0.6667 0.3333 0.0821
```


A plane-wave DFT calculation with PBE was carried out for a relaxed LaZr2Ag crystal.

Calculated values
- DFT total energy (eV for the cell shown) = -24.4
- crystal system = monoclinic

```
LaZr2Ag
1.0
3.3282 0.0000 0.0000
0.0000 5.4551 0.0000
-0.0005 0.0000 5.3572
La Zr Ag
1 2 1
Direct
0.0000 0.0000 0.0000
0.0046 0.5000 0.5093
0.5027 0.0000 0.4968
0.5019 0.5000 0.0150
```


A plane-wave DFT calculation with PBE was carried out for a relaxed LaZrAg crystal.

Calculated values
- DFT total energy (eV for the cell shown) = -15.9
- crystal system = trigonal

```
LaZrAg
1.0
3.4186 0.0000 0.0000
-1.7093 2.9606 0.0000
0.0000 0.0000 7.6641
La Zr Ag
1 1 1
Direct
0.0000 0.0000 0.0000
0.6667 0.3333 0.3544
0.3333 0.6667 0.6470
```